one | A plane-wave DFT calculation with PBE was carried out for a relaxed structure of HoTmScZn.

abc: 5.1730 5.1730 5.1730
angles: 60.00 60.00 60.00
Sites, in units of the cell vectors:
1 Ho 0.0000 0.0000 0.0000
2 Tm 0.5000 0.5000 0.5000
3 Sc 0.7500 0.7500 0.7500
4 Zn 0.2500 0.2500 0.2500

The symmetry is F-43m (216).

two | A plane-wave DFT calculation with PBE was carried out for a relaxed structure of HoTmScZn.

abc: 3.4805 3.4805 8.2371
angles: 90.00 90.00 90.00
Sites, in units of the cell vectors:
1 Ho 0.0000 0.0000 0.0000
2 Tm 0.0000 0.0000 0.5651
3 Sc 0.5000 0.5000 0.2841
4 Zn 0.5000 0.5000 0.7791

The symmetry is P4mm (99).

Which one is most stable, and which one is least stable? two is the most stable of them, while one is the least stable.

one | A plane-wave DFT calculation with PBE was carried out for a relaxed structure of YHo2Sc.

abc: 3.4998 3.4998 11.3700
angles: 98.83 98.83 60.04
Sites, in units of the cell vectors:
1 Y 0.0000 0.0000 0.0000
2 Ho 0.4215 0.4215 0.2623
3 Ho 0.5798 0.5798 0.7397
4 Sc 0.8350 0.8350 0.5023

The symmetry is Cm (8).

two | A plane-wave DFT calculation with PBE was carried out for a relaxed structure of YHo2Sc.

abc: 3.4957 3.4957 9.6933
angles: 90.00 90.00 90.00
Sites, in units of the cell vectors:
1 Y 0.0000 0.0000 0.0000
2 Ho 0.5000 0.5000 0.2623
3 Ho 0.5000 0.5000 0.7377
4 Sc 0.0000 0.0000 0.5000

The symmetry is P4/mmm (123).

Which one is most stable, and which one is least stable? one is the most stable of them, while two is the least stable.